(1)
Material: TlBrO2
Method: DFT, PBE
State: optimized geometry

The total moment is 0.000 μB/atom. The value obtained for the total energy is -3.63 eV/atom. The symmetry is Pnma (62).

a b c (Å): 6.6607 4.0390 10.8577
angles (deg): 90.00 90.00 90.00
Closest atoms and distances in Å follow each position.
Sites, in units of the cell vectors:
Tl 0.1304 0.2500 0.1054  4 O 2.18-2.36
Tl 0.3696 0.7500 0.6054  4 O 2.18-2.36
Tl 0.6304 0.2500 0.3946  4 O 2.18-2.36
Tl 0.8696 0.7500 0.8946  4 O 2.18-2.36
Br 0.0735 0.7500 0.3475  2 O 2.12
Br 0.4265 0.2500 0.8475  2 O 2.12
Br 0.5735 0.7500 0.1525  2 O 2.12
Br 0.9265 0.2500 0.6525  2 O 2.12
O 0.0042 0.2500 0.3074  2 Br 2.12, 1 Tl 2.35
O 0.1445 0.7500 0.0311  3 Tl 2.18-2.36
O 0.3555 0.2500 0.5311  3 Tl 2.18-2.36
O 0.4958 0.7500 0.8074  2 Br 2.12, 1 Tl 2.35
O 0.5042 0.2500 0.1926  2 Br 2.12, 1 Tl 2.35
O 0.6445 0.7500 0.4689  3 Tl 2.18-2.36
O 0.8555 0.2500 0.9689  3 Tl 2.18-2.36
O 0.9958 0.7500 0.6926  2 Br 2.12, 1 Tl 2.35

=====

(2)
Material: HgPb5
Method: DFT, PBE
State: optimized geometry

The total moment is 0.000 μB/atom. The calculation puts the formation energy at 0.0330 eV per atom. The symmetry is P-62m (189).

a b c (Å): 5.9520 5.9520 6.0056
angles (deg): 90.00 90.00 120.00
Closest atoms and distances in Å follow each position.
Sites, in units of the cell vectors:
Hg 0.0000 0.0000 0.0000  12 Pb 3.44-3.61
Pb 0.0000 0.6641 0.5000  10 Pb 3.42-3.59, 2 Hg 3.61
Pb 0.3333 0.6667 0.0000  3 Hg 3.44, 9 Pb 3.44-3.59
Pb 0.3359 0.3359 0.5000  10 Pb 3.42-3.59, 2 Hg 3.61
Pb 0.6641 0.0000 0.5000  10 Pb 3.42-3.59, 2 Hg 3.61
Pb 0.6667 0.3333 0.0000  3 Hg 3.44, 9 Pb 3.44-3.59

=====

(3)
Material: Al2Sb2I
Method: DFT, PBE
State: optimized geometry

The total moment is 0.000 μB/atom. The value obtained for the total energy is -3.37 eV/atom. The symmetry is I4/mmm (139).

a b c (Å): 6.8719 6.8719 6.8719
angles (deg): 139.61 139.61 58.45
Closest atoms and distances in Å follow each position.
Sites, in units of the cell vectors:
Al 0.1091 0.1091 0.0000  1 Al 2.62, 4 Sb 2.91
Al 0.8909 0.8909 0.0000  1 Al 2.62, 4 Sb 2.91
Sb 0.2500 0.7500 0.5000  4 Al 2.91
Sb 0.7500 0.2500 0.5000  4 Al 2.91
I 0.5000 0.5000 0.0000  8 Al 3.60, 8 Sb 3.82

=====

(4)
Material: PtWCl2
Method: DFT, PBE
State: optimized geometry

The total moment is 0.000 μB/atom. The value obtained for the total energy is -5.74 eV/atom. The symmetry is Cm (8).

a b c (Å): 3.9018 3.9018 8.3960
angles (deg): 104.89 104.89 47.10
Closest atoms and distances in Å follow each position.
Sites, in units of the cell vectors:
Pt 0.0000 0.0000 0.0000  3 W 2.46-2.59, 1 Cl 2.50
W 0.2283 0.2283 0.8291  2 Cl 2.40, 3 Pt 2.46-2.59
Cl 0.6339 0.6339 0.6041  2 W 2.40
Cl 0.8146 0.8146 0.2115  1 Pt 2.50

=====

(5)
Material: Y4Er2Mg
Method: DFT, PBE
State: optimized geometry

The total moment is 0.000 μB/atom. The calculation puts the formation energy at 0.0975 eV per atom. The symmetry is C2/m (12).

a b c (Å): 8.4720 8.4720 8.5475
angles (deg): 116.32 116.32 23.64
Closest atoms and distances in Å follow each position.
Sites, in units of the cell vectors:
Y 0.0806 0.0806 0.2025  5 Y 3.28-3.56, 1 Mg 3.37, 3 Er 3.40-3.43
Y 0.3656 0.3656 0.1016  8 Y 3.47-3.83, 3 Er 3.56, 2 Mg 3.56
Y 0.6344 0.6344 0.8984  8 Y 3.47-3.83, 3 Er 3.56, 2 Mg 3.56
Y 0.9194 0.9194 0.7975  5 Y 3.28-3.56, 1 Mg 3.37, 3 Er 3.40-3.43
Er 0.2200 0.2200 0.6412  1 Mg 3.28, 6 Y 3.40-3.56, 4 Er 3.47
Er 0.7800 0.7800 0.3588  1 Mg 3.28, 6 Y 3.40-3.56, 4 Er 3.47
Mg 0.0000 0.0000 0.5000  2 Er 3.28, 6 Y 3.37-3.56, 2 Mg 3.47

=====

(6)
Material: Sc2Hg
Method: DFT, PBE
State: optimized geometry

The total moment is 0.000 μB/atom. The calculation puts the formation energy at 0.1815 eV per atom. The symmetry is Fd-3m (227).

a b c (Å): 5.8325 5.8325 5.8325
angles (deg): 60.00 60.00 60.00
Closest atoms and distances in Å follow each position.
Sites, in units of the cell vectors:
Sc 0.0000 0.0000 0.0000  6 Sc 2.92
Sc 0.0000 0.0000 0.5000  6 Sc 2.92
Sc 0.0000 0.5000 0.0000  6 Sc 2.92
Sc 0.5000 0.0000 0.0000  6 Sc 2.92
Hg 0.3750 0.3750 0.3750  12 Sc 3.42, 4 Hg 3.57
Hg 0.6250 0.6250 0.6250  12 Sc 3.42, 4 Hg 3.57